(1)
BaPt2Cl | the Alexandria database | PBE | optimized geometry; DFT total energy = -4.002 eV per atom; magnetization = 0.076 μB per atom; raw formation energy = -0.04 eV per atom; symmetry = Cmmm (65); ΔE to the lowest computed polymorph = 723 meV/atom
1.0
6.304 -0.026 0.000
-3.916 4.941 0.000
0.000 0.000 3.222
Cl Pt Ba
1 2 1
direct
0.000 0.500 0.500
0.000 0.000 0.000
0.500 0.500 0.000
0.500 0.000 0.500

***

(2)
BaPt2Cl | the Alexandria database | PBE | optimized geometry; DFT total energy = -4.496 eV per atom; magnetization = 0.003 μB per atom; raw formation energy = -0.53 eV per atom; symmetry = I4/mmm (139); ΔE to the lowest computed polymorph = 228 meV/atom
1.0
6.695 -0.007 0.000
4.278 5.149 0.000
-5.486 -2.571 2.848
Ba Pt Cl
1 2 1
direct
0.250 0.750 0.500
0.500 0.500 0.000
0.000 0.000 0.000
0.750 0.250 0.500

***

(3)
BaPtCl2 | the Alexandria database | PBE | optimized geometry; DFT total energy = -3.961 eV per atom; magnetization = 0.000 μB per atom; raw formation energy = -1.05 eV per atom; symmetry = Immm (71); ΔE to the lowest computed polymorph = 267 meV/atom
1.0
5.389 0.003 -0.001
0.601 5.355 0.001
-2.319 -3.435 3.444
Cl Pt Ba
2 1 1
direct
0.949 0.949 0.000
0.551 0.551 0.000
0.750 0.250 0.500
0.250 0.750 0.500

***

- What is the DFT total energy in the second record?
  -4.496 eV per atom

***

- What is the raw formation energy in the first record?
  -0.04 eV per atom

***

- Which of these has the lowest raw formation energy?
  BaPtCl2

***

Please write out number 2 again, unchanged.
BaPt2Cl | the Alexandria database | PBE | optimized geometry; DFT total energy = -4.496 eV per atom; magnetization = 0.003 μB per atom; raw formation energy = -0.53 eV per atom; symmetry = I4/mmm (139); ΔE to the lowest computed polymorph = 228 meV/atom
1.0
6.695 -0.007 0.000
4.278 5.149 0.000
-5.486 -2.571 2.848
Ba Pt Cl
1 2 1
direct
0.250 0.750 0.500
0.500 0.500 0.000
0.000 0.000 0.000
0.750 0.250 0.500